VASP calculation (PBE-GGA) on an optimized crystal structure of Pr2Dy3Sn4.

Cell and atoms, written as CIF:
```
data_Pr2Dy3Sn4
_chemical_formula_sum 'Pr4 Dy6 Sn8'
_cell_length_a 8.357
_cell_length_b 8.368
_cell_length_c 8.071
_cell_angle_alpha 90.00
_cell_angle_beta 110.23
_cell_angle_gamma 90.00
_space_group_name_H-M_alt 'P 1 21/c 1'
_space_group_IT_number 14
_space_group_name_Hall '-P 2ybc'
loop_
_atom_site_label
_atom_site_fract_x
_atom_site_fract_y
_atom_site_fract_z
Pr1 0.193 0.177 0.064
Dy1 0.248 0.668 0.243
Dy2 0.500 0.000 0.500
Sn1 0.082 0.540 0.844
Sn2 0.490 0.134 0.863
```

Results
Total moment   0.000 μB/cell
Polymorph energy (0 for the lowest one)   0.0000 eV per atom
E_form   -794 meV per atom
Total energy   -0.380 Ry/atom
V   29.4 Å³/atom

VASP calculation (PBE-GGA) on an optimized crystal structure of ScCdPb2.

Cell and atoms, written as CIF:
```
data_ScCdPb2
_chemical_formula_sum 'Sc3 Cd3 Pb6'
_cell_length_a 4.6307
_cell_length_b 4.6307
_cell_length_c 18.3381
_cell_angle_alpha 90.00
_cell_angle_beta 90.00
_cell_angle_gamma 120.00
_space_group_name_H-M_alt 'R 3 m'
_space_group_IT_number 160
_space_group_name_Hall 'R 3 -2"'
loop_
_atom_site_label
_atom_site_fract_x
_atom_site_fract_y
_atom_site_fract_z
Sc1 0.0000 0.0000 0.0000
Cd1 0.0000 0.0000 0.8236
Pb1 0.0000 0.0000 0.4047
Pb2 0.0000 0.0000 0.5820
```

Results
Total moment   0.000 μB/cell
E_form   -20 meV per atom
Total energy   -0.271 Ry/atom
V   28.4 Å³/atom

VASP calculation (PBE-GGA) on an optimized crystal structure of CdSn2Pt.

Cell and atoms, written as CIF:
```
data_CdSn2Pt
_chemical_formula_sum 'Cd3 Sn6 Pt3'
_cell_length_a 3.6942
_cell_length_b 3.6942
_cell_length_c 27.0308
_cell_angle_alpha 90.00
_cell_angle_beta 90.00
_cell_angle_gamma 120.00
_space_group_name_H-M_alt 'R -3 m'
_space_group_IT_number 166
_space_group_name_Hall '-R 3 2"'
loop_
_atom_site_label
_atom_site_fract_x
_atom_site_fract_y
_atom_site_fract_z
Cd1 0.0000 0.0000 0.0000
Sn1 0.0000 0.0000 0.1047
Pt1 0.0000 0.0000 0.5000
```

Results
Total moment   0.000 μB/cell
E_form   -192 meV per atom
Total energy   -0.289 Ry/atom
V   26.6 Å³/atom

VASP calculation (PBE-GGA) on an optimized crystal structure of Pm6HoSc8.

Cell and atoms, written as CIF:
```
data_Pm6HoSc8
_chemical_formula_sum 'Pm18 Ho3 Sc24'
_cell_length_a 9.2789
_cell_length_b 9.2789
_cell_length_c 17.5184
_cell_angle_alpha 90.00
_cell_angle_beta 90.00
_cell_angle_gamma 120.00
_space_group_name_H-M_alt 'R -3'
_space_group_IT_number 148
_space_group_name_Hall '-R 3'
loop_
_atom_site_label
_atom_site_fract_x
_atom_site_fract_y
_atom_site_fract_z
Pm1 0.0218 0.2372 0.4058
Ho1 0.0000 0.0000 0.0000
Sc1 0.0000 0.0000 0.2266
Sc2 0.0517 0.2791 0.9001
```

Results
Total moment   0.002 μB/cell
E_form   185 meV per atom
Total energy   -0.397 Ry/atom
V   29.0 Å³/atom

VASP calculation (PBE-GGA) on an optimized crystal structure of Ho2ZnPt2.

Cell and atoms, written as CIF:
```
data_Ho2ZnPt2
_chemical_formula_sum 'Ho8 Zn4 Pt8'
_cell_length_a 7.136
_cell_length_b 11.054
_cell_length_c 5.687
_cell_angle_alpha 90.00
_cell_angle_beta 90.00
_cell_angle_gamma 90.00
_space_group_name_H-M_alt 'I b a m'
_space_group_IT_number 72
_space_group_name_Hall '-I 2 2c'
loop_
_atom_site_label
_atom_site_fract_x
_atom_site_fract_y
_atom_site_fract_z
Ho1 0.158 0.147 0.000
Zn1 0.000 0.500 0.250
Pt1 0.238 0.109 0.500
```

Results
Total moment   0.000 μB/cell
E_form   -983 meV per atom
Total energy   -0.403 Ry/atom
V   22.4 Å³/atom

VASP calculation (PBE-GGA) on an optimized crystal structure of Cs12Rb7Tl.

Cell and atoms, written as CIF:
```
data_Cs12Rb7Tl
_chemical_formula_sum 'Cs36 Rb21 Tl3'
_cell_length_a 21.2560
_cell_length_b 21.2560
_cell_length_c 15.0276
_cell_angle_alpha 90.00
_cell_angle_beta 90.00
_cell_angle_gamma 120.00
_space_group_name_H-M_alt 'R -3'
_space_group_IT_number 148
_space_group_name_Hall '-R 3'
loop_
_atom_site_label
_atom_site_fract_x
_atom_site_fract_y
_atom_site_fract_z
Cs1 0.0124 0.7580 0.0425
Cs2 0.0441 0.8892 0.7308
Rb1 0.0000 0.0000 0.0000
Rb2 0.0840 0.5795 0.1089
Tl1 0.0000 0.0000 0.5000
```

Results
Total moment   0.000 μB/cell
E_form   19 meV per atom
Total energy   -0.070 Ry/atom
V   98.0 Å³/atom

VASP calculation (PBE-GGA) on an optimized crystal structure of Sr2Hg2Pd3.

Cell and atoms, written as CIF:
```
data_Sr2Hg2Pd3
_chemical_formula_sum 'Sr4 Hg4 Pd6'
_cell_length_a 11.363
_cell_length_b 4.499
_cell_length_c 7.197
_cell_angle_alpha 90.00
_cell_angle_beta 113.81
_cell_angle_gamma 90.00
_space_group_name_H-M_alt 'C 1 2/m 1'
_space_group_IT_number 12
_space_group_name_Hall '-C 2y'
loop_
_atom_site_label
_atom_site_fract_x
_atom_site_fract_y
_atom_site_fract_z
Sr1 0.137 0.000 0.260
Hg1 0.152 0.000 0.740
Pd1 0.000 0.500 0.500
Pd2 0.092 0.500 0.925
```

Results
Total moment   0.000 μB/cell
E_form   -505 meV per atom
Total energy   -0.242 Ry/atom
V   24.0 Å³/atom

VASP calculation (PBE-GGA) on an optimized crystal structure of Tb2TmSc3As6.

Cell and atoms, written as CIF:
```
data_Tb2TmSc3As6
_chemical_formula_sum 'Tb4 Tm2 Sc6 As12'
_cell_length_a 6.934
_cell_length_b 12.010
_cell_length_c 6.912
_cell_angle_alpha 90.00
_cell_angle_beta 109.52
_cell_angle_gamma 90.00
_space_group_name_H-M_alt 'C 1 2/m 1'
_space_group_IT_number 12
_space_group_name_Hall '-C 2y'
loop_
_atom_site_label
_atom_site_fract_x
_atom_site_fract_y
_atom_site_fract_z
Tb1 0.000 0.166 0.000
Tm1 0.000 0.500 0.000
Sc1 0.000 0.000 0.500
Sc2 0.000 0.332 0.500
As1 0.242 0.500 0.735
As2 0.247 0.165 0.736
```

Results
Total moment   0.000 μB/cell
E_form   -1440 meV per atom
Total energy   -0.477 Ry/atom
V   22.6 Å³/atom

VASP calculation (PBE-GGA) on an optimized crystal structure of Pr7Tm12Sc.

Cell and atoms, written as CIF:
```
data_Pr7Tm12Sc
_chemical_formula_sum 'Pr14 Tm24 Sc2'
_cell_length_a 11.343
_cell_length_b 11.343
_cell_length_c 11.343
_cell_angle_alpha 90.00
_cell_angle_beta 90.00
_cell_angle_gamma 90.00
_space_group_name_H-M_alt 'I m -3 m'
_space_group_IT_number 229
_space_group_name_Hall '-I 4 2 3'
loop_
_atom_site_label
_atom_site_fract_x
_atom_site_fract_y
_atom_site_fract_z
Pr1 0.000 0.000 0.500
Pr2 0.250 0.250 0.250
Tm1 0.000 0.222 0.222
Sc1 0.000 0.000 0.000
```

Results
Total moment   0.041 μB/cell
Polymorph energy (0 for the lowest one)   0.4605 eV per atom
E_form   691 meV per atom
Total energy   -0.293 Ry/atom
V   36.5 Å³/atom

VASP calculation (PBE-GGA) on an optimized crystal structure of Pm12Dy2Tm5.

Cell and atoms, written as CIF:
```
data_Pm12Dy2Tm5
_chemical_formula_sum 'Pm24 Dy4 Tm10'
_cell_length_a 15.836
_cell_length_b 9.262
_cell_length_c 8.671
_cell_angle_alpha 90.00
_cell_angle_beta 91.40
_cell_angle_gamma 90.00
_space_group_name_H-M_alt 'C 1 2/m 1'
_space_group_IT_number 12
_space_group_name_Hall '-C 2y'
loop_
_atom_site_label
_atom_site_fract_x
_atom_site_fract_y
_atom_site_fract_z
Pm1 0.062 0.000 0.341
Pm2 0.087 0.500 0.884
Pm3 0.127 0.195 0.672
Pm4 0.153 0.318 0.237
Dy1 0.000 0.172 0.000
Tm1 0.000 0.500 0.500
Tm2 0.200 0.000 0.022
Tm3 0.231 0.500 0.569
```

Results
Total moment   0.000 μB/cell
Polymorph energy (0 for the lowest one)   0.0000 eV per atom
E_form   122 meV per atom
Total energy   -0.334 Ry/atom
V   33.5 Å³/atom

VASP calculation (PBE-GGA) on an optimized crystal structure of PrLuZnTc.

Cell and atoms, written as CIF:
```
data_PrLuZnTc
_chemical_formula_sum 'Pr4 Lu4 Zn4 Tc4'
_cell_length_a 7.041
_cell_length_b 7.041
_cell_length_c 7.041
_cell_angle_alpha 90.00
_cell_angle_beta 90.00
_cell_angle_gamma 90.00
_space_group_name_H-M_alt 'F -4 3 m'
_space_group_IT_number 216
_space_group_name_Hall 'F -4 2 3'
loop_
_atom_site_label
_atom_site_fract_x
_atom_site_fract_y
_atom_site_fract_z
Pr1 0.000 0.000 0.000
Lu1 0.000 0.000 0.500
Zn1 0.250 0.250 0.750
Tc1 0.250 0.250 0.250
```

Results
Total moment   0.001 μB/cell
E_form   -69 meV per atom
Total energy   -0.390 Ry/atom
V   21.8 Å³/atom

VASP calculation (PBE-GGA) on an optimized crystal structure of LiSb2Cl.

Cell and atoms, written as CIF:
```
data_LiSb2Cl
_chemical_formula_sum 'Li4 Sb8 Cl4'
_cell_length_a 4.112
_cell_length_b 4.112
_cell_length_c 27.806
_cell_angle_alpha 90.00
_cell_angle_beta 90.00
_cell_angle_gamma 90.00
_space_group_name_H-M_alt 'I -4 2 d'
_space_group_IT_number 122
_space_group_name_Hall 'I -4 2bw'
loop_
_atom_site_label
_atom_site_fract_x
_atom_site_fract_y
_atom_site_fract_z
Li1 0.000 0.000 0.000
Sb1 0.236 0.250 0.125
Cl1 0.000 0.000 0.500
```

Results
Total moment   0.000 μB/cell
Polymorph energy (0 for the lowest one)   0.3866 eV per atom
Total energy   -0.252 Ry/atom
Formation energy (no corrections)   -1.72 eV per formula unit
V   29.4 Å³/atom

VASP calculation (PBE-GGA) on an optimized crystal structure of NaAs2Os.

Cell and atoms, written as CIF:
```
data_NaAs2Os
_chemical_formula_sum 'Na4 As8 Os4'
_cell_length_a 6.455
_cell_length_b 6.455
_cell_length_c 10.644
_cell_angle_alpha 90.00
_cell_angle_beta 90.00
_cell_angle_gamma 90.00
_space_group_name_H-M_alt 'I -4 2 d'
_space_group_IT_number 122
_space_group_name_Hall 'I -4 2bw'
loop_
_atom_site_label
_atom_site_fract_x
_atom_site_fract_y
_atom_site_fract_z
Na1 0.000 0.000 0.000
As1 0.164 0.250 0.625
Os1 0.000 0.000 0.500
```

Results
Total moment   0.000 μB/cell
Polymorph energy (0 for the lowest one)   0.0889 eV per atom
E_form   100 meV per atom
Total energy   -0.394 Ry/atom
V   27.7 Å³/atom

VASP calculation (PBE-GGA) on an optimized crystal structure of CsKBaF4.

Cell and atoms, written as CIF:
```
data_CsKBaF4
_chemical_formula_sum 'Cs4 K4 Ba4 F16'
_cell_length_a 8.042
_cell_length_b 8.250
_cell_length_c 11.536
_cell_angle_alpha 90.00
_cell_angle_beta 90.00
_cell_angle_gamma 90.00
_space_group_name_H-M_alt 'I m m a'
_space_group_IT_number 74
_space_group_name_Hall '-I 2b 2'
loop_
_atom_site_label
_atom_site_fract_x
_atom_site_fract_y
_atom_site_fract_z
Cs1 0.000 0.250 0.134
K1 0.250 0.250 0.750
Ba1 0.000 0.000 0.500
F1 0.000 0.030 0.722
F2 0.205 0.250 0.510
```

Results
Total moment   0.401 μB/cell
Total energy   -0.351 Ry/atom
Formation energy (no corrections)   -22.07 eV per formula unit
V   27.3 Å³/atom

VASP calculation (PBE-GGA) on an optimized crystal structure of Sm2HgGeO6.

Cell and atoms, written as CIF:
```
data_Sm2HgGeO6
_chemical_formula_sum 'Sm2 Hg1 Ge1 O6'
_cell_length_a 5.365
_cell_length_b 5.365
_cell_length_c 5.213
_cell_angle_alpha 90.00
_cell_angle_beta 90.00
_cell_angle_gamma 90.00
_space_group_name_H-M_alt 'P 4 m m'
_space_group_IT_number 99
_space_group_name_Hall 'P 4 -2'
loop_
_atom_site_label
_atom_site_fract_x
_atom_site_fract_y
_atom_site_fract_z
Sm1 0.000 0.500 0.000
Hg1 0.000 0.000 0.519
Ge1 0.500 0.500 0.614
O1 0.000 0.000 0.115
O2 0.269 0.269 0.748
O3 0.500 0.500 0.269
```

Results
Total moment   0.000 μB/cell
Total energy   -0.480 Ry/atom
Formation energy (no corrections)   -21.26 eV per formula unit
V   15.0 Å³/atom

VASP calculation (PBE-GGA) on an optimized crystal structure of ZnCu2Hg.

Cell and atoms, written as CIF:
```
data_ZnCu2Hg
_chemical_formula_sum 'Zn2 Cu4 Hg2'
_cell_length_a 4.170
_cell_length_b 4.170
_cell_length_c 6.918
_cell_angle_alpha 90.00
_cell_angle_beta 90.00
_cell_angle_gamma 90.00
_space_group_name_H-M_alt 'I 4/m m m'
_space_group_IT_number 139
_space_group_name_Hall '-I 4 2'
loop_
_atom_site_label
_atom_site_fract_x
_atom_site_fract_y
_atom_site_fract_z
Zn1 0.000 0.000 0.000
Cu1 0.000 0.500 0.250
Hg1 0.000 0.000 0.500
```

Results
Total moment   0.000 μB/cell
E_form   94 meV per atom
Total energy   -0.173 Ry/atom
V   15.0 Å³/atom

VASP calculation (PBE-GGA) on an optimized crystal structure of KZr2Tl.

Cell and atoms, written as CIF:
```
data_KZr2Tl
_chemical_formula_sum 'K2 Zr4 Tl2'
_cell_length_a 3.173
_cell_length_b 6.124
_cell_length_c 11.693
_cell_angle_alpha 90.00
_cell_angle_beta 90.00
_cell_angle_gamma 90.00
_space_group_name_H-M_alt 'I m m 2'
_space_group_IT_number 44
_space_group_name_Hall 'I 2 -2'
loop_
_atom_site_label
_atom_site_fract_x
_atom_site_fract_y
_atom_site_fract_z
K1 0.000 0.000 0.000
Zr1 0.000 0.000 0.501
Zr2 0.000 0.500 0.211
Tl1 0.000 0.500 0.762
```

Results
Total moment   0.000 μB/cell
Polymorph energy (0 for the lowest one)   0.4285 eV per atom
E_form   590 meV per atom
Total energy   -0.334 Ry/atom
V   28.4 Å³/atom

VASP calculation (PBE-GGA) on an optimized crystal structure of Sm2Y5Ho12.

Cell and atoms, written as CIF:
```
data_Sm2Y5Ho12
_chemical_formula_sum 'Sm4 Y10 Ho24'
_cell_length_a 15.828
_cell_length_b 9.162
_cell_length_c 8.509
_cell_angle_alpha 90.00
_cell_angle_beta 91.27
_cell_angle_gamma 90.00
_space_group_name_H-M_alt 'C 1 2/m 1'
_space_group_IT_number 12
_space_group_name_Hall '-C 2y'
loop_
_atom_site_label
_atom_site_fract_x
_atom_site_fract_y
_atom_site_fract_z
Sm1 0.000 0.183 0.000
Y1 0.000 0.500 0.500
Y2 0.198 0.000 0.008
Y3 0.233 0.500 0.575
Ho1 0.056 0.000 0.332
Ho2 0.093 0.500 0.884
Ho3 0.126 0.192 0.656
Ho4 0.155 0.319 0.245
```

Results
Total moment   0.000 μB/cell
Polymorph energy (0 for the lowest one)   0.1048 eV per atom
E_form   127 meV per atom
Total energy   -0.365 Ry/atom
V   32.5 Å³/atom

VASP calculation (PBE-GGA) on an optimized crystal structure of PaCuRuRh.

Cell and atoms, written as CIF:
```
data_PaCuRuRh
_chemical_formula_sum 'Pa1 Cu1 Ru1 Rh1'
_cell_length_a 3.760
_cell_length_b 4.081
_cell_length_c 4.248
_cell_angle_alpha 90.00
_cell_angle_beta 90.00
_cell_angle_gamma 90.00
_space_group_name_H-M_alt 'P m m m'
_space_group_IT_number 47
_space_group_name_Hall '-P 2 2'
loop_
_atom_site_label
_atom_site_fract_x
_atom_site_fract_y
_atom_site_fract_z
Pa1 0.000 0.000 0.000
Cu1 0.000 0.500 0.500
Ru1 0.500 0.500 0.000
Rh1 0.500 0.000 0.500
```

Results
Total moment   0.000 μB/cell
Polymorph energy (0 for the lowest one)   0.0000 eV per atom
E_form   -592 meV per atom
Total energy   -0.599 Ry/atom
V   16.3 Å³/atom

VASP calculation (PBE-GGA) on an optimized crystal structure of SnP2SCl.

Cell and atoms, written as CIF:
```
data_SnP2SCl
_chemical_formula_sum 'Sn1 P2 S1 Cl1'
_cell_length_a 5.197
_cell_length_b 5.197
_cell_length_c 4.919
_cell_angle_alpha 90.00
_cell_angle_beta 90.00
_cell_angle_gamma 90.00
_space_group_name_H-M_alt 'P 4/m m m'
_space_group_IT_number 123
_space_group_name_Hall '-P 4 2'
loop_
_atom_site_label
_atom_site_fract_x
_atom_site_fract_y
_atom_site_fract_z
Sn1 0.000 0.000 0.000
P1 0.000 0.500 0.000
S1 0.000 0.000 0.500
Cl1 0.500 0.500 0.500
```

Results
Total moment   1.204 μB/cell
Polymorph energy (0 for the lowest one)   0.4302 eV per atom
Total energy   -0.232 Ry/atom
Formation energy (no corrections)   5.00 eV per formula unit
V   26.6 Å³/atom